Compound: CeHoTe2N
Source: Alexandria via LeMat-Bulk
Functional: PBE-GGA
Structure: relaxed

Properties
Size of the total moment: 0.00 μB per formula unit
Raw formation energy: -1387.5 meV per atom
Calculated volume: 272 Å³/cell

Cell: 4.157 4.157 15.749 Å, 90.00 90.00 90.00°
Positions (direct):
Ce 0.250 0.250 0.067
Ce 0.750 0.750 0.933
Ho 0.250 0.250 0.632
Ho 0.750 0.750 0.368
Te 0.250 0.250 0.417
Te 0.250 0.250 0.813
Te 0.750 0.750 0.187
Te 0.750 0.750 0.583
N 0.250 0.750 0.000
N 0.750 0.250 0.000

Compound: Tm5Al2Zn
Source: Alexandria via LeMat-Bulk
Functional: PBE-GGA
Structure: relaxed

Properties
Energy relative to the elements: -209 meV per atom
Size of the total moment: 0.00 μB per formula unit
Calculated volume: 389 Å³/cell

Cell: 5.881 5.881 16.748 Å, 90.00 90.00 137.75°
Positions (direct):
Tm 0.049 0.951 0.750
Tm 0.159 0.841 0.546
Tm 0.159 0.841 0.954
Tm 0.450 0.550 0.604
Tm 0.450 0.550 0.896
Tm 0.550 0.450 0.104
Tm 0.550 0.450 0.396
Tm 0.841 0.159 0.046
Tm 0.841 0.159 0.454
Tm 0.951 0.049 0.250
Al 0.257 0.743 0.165
Al 0.257 0.743 0.335
Al 0.743 0.257 0.665
Al 0.743 0.257 0.835
Zn 0.322 0.678 0.750
Zn 0.678 0.322 0.250

Compound: BaCuSbH2
Source: Alexandria via LeMat-Bulk
Functional: PBE-GGA
Structure: relaxed

Properties
Size of the total moment: 0.00 μB per formula unit
Total DFT energy (no corrections): -36.60 eV/cell
Calculated volume: 181 Å³/cell

Cell: 6.458 6.458 6.757 Å, 90.00 90.00 140.00°
Positions (direct):
Ba 0.211 0.789 0.750
Ba 0.789 0.211 0.250
Cu 0.500 0.500 0.000
Cu 0.500 0.500 0.500
Sb 0.059 0.941 0.250
Sb 0.941 0.059 0.750
H 0.370 0.630 0.042
H 0.370 0.630 0.458
H 0.630 0.370 0.542
H 0.630 0.370 0.958